Record 1
DFT (PBE) results for Sr2ZnAg2Pd5 after structural relaxation.

Structure (CIF):
```
data_Sr2ZnAg2Pd5
_cell_length_a 10.140
_cell_length_b 10.140
_cell_length_c 3.883
_cell_angle_alpha 90.00
_cell_angle_beta 90.00
_cell_angle_gamma 90.00
_symmetry_space_group_name_H-M 'P 4/m b m'
_symmetry_Int_Tables_number 127
_symmetry_space_group_name_Hall '-P 4 2ab'
loop_
_atom_site_label
_atom_site_type_symbol
_atom_site_fract_x
_atom_site_fract_y
_atom_site_fract_z
Sr1 Sr 0.172 0.328 0.000
Zn1 Zn 0.000 0.000 0.000
Ag1 Ag 0.130 0.630 0.000
Pd1 Pd 0.000 0.500 0.500
Pd2 Pd 0.054 0.812 0.500
```

Results
E = -3.9940 eV/atom
total magnetization = 0.000 μB per formula unit
ΔH_f (0 K) = -0.364 eV per atom

Record 2
DFT (PBE) results for GdMg4Tl after structural relaxation.

Structure (CIF):
```
data_GdMg4Tl
_cell_length_a 8.533
_cell_length_b 8.533
_cell_length_c 8.533
_cell_angle_alpha 90.00
_cell_angle_beta 90.00
_cell_angle_gamma 90.00
_symmetry_space_group_name_H-M 'F -4 3 m'
_symmetry_Int_Tables_number 216
_symmetry_space_group_name_Hall 'F -4 2 3'
loop_
_atom_site_label
_atom_site_type_symbol
_atom_site_fract_x
_atom_site_fract_y
_atom_site_fract_z
Gd1 Gd 0.000 0.000 0.000
Mg1 Mg 0.125 0.125 0.375
Tl1 Tl 0.250 0.250 0.750
```

Results
E = -3.8104 eV/atom
total magnetization = 7.412 μB per formula unit
ΔH_f (0 K) = -0.006 eV per atom

Q: Which of these has the highest ΔH_f (0 K)?
A: GdMg4Tl

Q: What is the ΔH_f (0 K) in the first record?
A: -0.364 eV per atom

Q: Which of these has the lowest total magnetization?
A: Sr2ZnAg2Pd5

Please write out number 1 again, unchanged.
DFT (PBE) results for Sr2ZnAg2Pd5 after structural relaxation.

Structure (CIF):
```
data_Sr2ZnAg2Pd5
_cell_length_a 10.140
_cell_length_b 10.140
_cell_length_c 3.883
_cell_angle_alpha 90.00
_cell_angle_beta 90.00
_cell_angle_gamma 90.00
_symmetry_space_group_name_H-M 'P 4/m b m'
_symmetry_Int_Tables_number 127
_symmetry_space_group_name_Hall '-P 4 2ab'
loop_
_atom_site_label
_atom_site_type_symbol
_atom_site_fract_x
_atom_site_fract_y
_atom_site_fract_z
Sr1 Sr 0.172 0.328 0.000
Zn1 Zn 0.000 0.000 0.000
Ag1 Ag 0.130 0.630 0.000
Pd1 Pd 0.000 0.500 0.500
Pd2 Pd 0.054 0.812 0.500
```

Results
E = -3.9940 eV/atom
total magnetization = 0.000 μB per formula unit
ΔH_f (0 K) = -0.364 eV per atom